# 1
Below is crystalline RbTaNbO6 at its relaxed geometry, with properties calculated at the PBE level.

Unit cell a=5.585 b=5.585 c=6.093 alpha=90.46 beta=90.46 gamma=121.21
Atoms (fractional coordinates):
Rb 0.000 0.000 0.000
Ta 0.680 0.320 0.500
Nb 0.321 0.679 0.500
O 0.006 0.587 0.693
O 0.413 0.410 0.658
O 0.413 0.994 0.307
O 0.588 0.008 0.693
O 0.590 0.587 0.342
O 0.992 0.412 0.307

Calculated values
The total moment is 0.120 μB per atom. For the formation energy from raw total energies, the calculation gives -2.36 eV/atom. The energy is -73.85 eV for the cell shown.



# 2
Below is crystalline Dy2Co2I at its relaxed geometry, with properties calculated at the PBE level.

Unit cell a=3.948 b=3.948 c=16.947 alpha=90.00 beta=90.00 gamma=120.00
Atoms (fractional coordinates):
Dy 0.000 0.000 0.103
Dy 0.000 0.000 0.397
Dy 0.000 0.000 0.603
Dy 0.000 0.000 0.897
Co 0.333 0.667 0.002
Co 0.333 0.667 0.498
Co 0.667 0.333 0.502
Co 0.667 0.333 0.998
I 0.333 0.667 0.750
I 0.667 0.333 0.250

Calculated values
The total moment is 0.000 μB per atom. For the formation energy from raw total energies, the calculation gives -0.60 eV/atom. The value obtained for the density of states at the Fermi level is 9.83 states/eV per cell. The energy is -55.90 eV for the cell shown.



# 3
Below is crystalline ScPa2Ru at its relaxed geometry, with properties calculated at the PBE level.

Unit cell a=5.235 b=5.235 c=5.235 alpha=54.06 beta=54.06 gamma=54.06
Atoms (fractional coordinates):
Sc 0.000 0.000 0.000
Pa 0.246 0.246 0.246
Pa 0.754 0.754 0.754
Ru 0.500 0.500 0.500

Calculated values
The total moment is 0.000 μB per atom. The value obtained for the density of states at the Fermi level is 8.60 states/eV per cell. The value obtained for the formation energy is 9 kJ per mole of atoms. The energy is -34.22 eV for the cell shown.